Record 1
A geometry-optimized LiCaAs3 structure, computed with PBEsol.

Output
Symmetry ... Pm-3m, No. 221
Density of states at the Fermi level ... 0.524 states/eV per atom
Final energy ... -3.389 eV per atom

a b c (Å): 5.2846 5.2846 5.2846
angles (deg): 90.00 90.00 90.00
Closest atoms and distances in Å follow each position.
Fractional positions:
As (0.0000, 0.5000, 0.0000)  2 Ca 2.64
As (0.0000, 0.0000, 0.5000)  2 Ca 2.64
As (0.5000, 0.0000, 0.0000)  2 Ca 2.64
Ca (0.0000, 0.0000, 0.0000)  6 As 2.64
Li (0.5000, 0.5000, 0.5000)  12 As 3.74

=====

Record 2
A geometry-optimized CaBe3P structure, computed with PBEsol.

Output
Symmetry ... Pm-3m, No. 221
Density of states at the Fermi level ... 0.764 states/eV per atom
Final energy ... -1.646 eV per atom

a b c (Å): 4.8346 4.8346 4.8346
angles (deg): 90.00 90.00 90.00
Closest atoms and distances in Å follow each position.
Fractional positions:
P (0.5000, 0.5000, 0.5000)  12 Be 3.42
Ca (0.0000, 0.0000, 0.0000)  6 Be 2.42
Be (0.0000, 0.5000, 0.0000)  2 Ca 2.42
Be (0.0000, 0.0000, 0.5000)  2 Ca 2.42
Be (0.5000, 0.0000, 0.0000)  2 Ca 2.42

=====

Record 3
A geometry-optimized KTi3Ir structure, computed with PBEsol.

Output
Symmetry ... Pm-3m, No. 221
Density of states at the Fermi level ... 1.632 states/eV per atom
Final energy ... -5.401 eV per atom

a b c (Å): 4.3188 4.3188 4.3188
angles (deg): 90.00 90.00 90.00
Closest atoms and distances in Å follow each position.
Fractional positions:
K (0.0000, 0.0000, 0.0000)  6 Ti 2.16
Ir (0.5000, 0.5000, 0.5000)  12 Ti 3.05
Ti (0.0000, 0.5000, 0.0000)  2 K 2.16
Ti (0.0000, 0.0000, 0.5000)  2 K 2.16
Ti (0.5000, 0.0000, 0.0000)  2 K 2.16

=====

Record 4
A geometry-optimized BaBePb2 structure, computed with PBEsol.

Output
Symmetry ... P4/mmm, No. 123
Density of states at the Fermi level ... 0.667 states/eV per atom
Final energy ... -3.403 eV per atom

a b c (Å): 3.7038 3.7038 7.8815
angles (deg): 90.00 90.00 90.00
Closest atoms and distances in Å follow each position.
Fractional positions:
Pb (0.0000, 0.0000, 0.6878)  1 Pb 2.96, 4 Be 3.01
Pb (0.0000, 0.0000, 0.3122)  1 Pb 2.96, 4 Be 3.01
Be (0.5000, 0.5000, 0.5000)  8 Pb 3.01
Ba (0.5000, 0.5000, 0.0000)  8 Pb 3.59, 4 Ba 3.70, 2 Be 3.94

=====

Record 5
A geometry-optimized SrOsPt2 structure, computed with PBEsol.

Output
Symmetry ... C2/m, No. 12
Density of states at the Fermi level ... 0.815 states/eV per atom
Final energy ... -6.771 eV per atom

a b c (Å): 2.7793 4.5398 6.3943
angles (deg): 96.85 90.00 107.82
Closest atoms and distances in Å follow each position.
Fractional positions:
Os (0.5000, 0.0000, 0.0000)  6 Pt 2.63-2.66, 2 Os 2.78
Pt (0.7567, 0.5135, 0.8184)  3 Os 2.63-2.66, 4 Pt 2.72-2.78
Pt (0.2433, 0.4865, 0.1816)  3 Os 2.63-2.66, 4 Pt 2.72-2.78
Sr (0.0000, 0.0000, 0.5000)  2 Sr 2.78, 2 Pt 3.10

=====

Record 6
A geometry-optimized CsBi2Pb2 structure, computed with PBEsol.

Output
Symmetry ... I4/mmm, No. 139
Density of states at the Fermi level ... 0.447 states/eV per atom
Final energy ... -3.692 eV per atom

a b c (Å): 5.3926 5.3926 7.7502
angles (deg): 110.36 110.36 90.00
Closest atoms and distances in Å follow each position.
Fractional positions:
Pb (0.2500, 0.7500, 0.5000)  4 Bi 3.22
Pb (0.7500, 0.2500, 0.5000)  4 Bi 3.22
Cs (0.0000, 0.0000, 0.0000)  8 Bi 4.14, 8 Pb 4.32
Bi (0.3800, 0.3800, 0.7600)  4 Pb 3.22, 1 Bi 3.24
Bi (0.6200, 0.6200, 0.2400)  4 Pb 3.22, 1 Bi 3.24

=====

Record 7
A geometry-optimized LiReSe2 structure, computed with PBEsol.

Output
Symmetry ... Cmm2, No. 35
Uncorrected formation energy ... 0.192 eV per atom
Density of states at the Fermi level ... 0.568 states/eV per atom

a b c (Å): 2.8084 2.8084 9.5001
angles (deg): 90.00 90.00 112.94
Closest atoms and distances in Å follow each position.
Fractional positions:
Li (0.0000, 0.0000, 0.4966)  2 Se 2.54, 4 Li 2.81, 2 Re 2.81
Re (0.5000, 0.5000, 0.2497)  2 Se 2.49
Se (0.0000, 0.0000, 0.0451)  2 Re 2.49
Se (0.5000, 0.5000, 0.7085)  2 Li 2.54, 4 Se 2.81

=====

Record 8
A geometry-optimized CdHg2PCl structure, computed with PBEsol.

Output
Symmetry ... P4/mmm, No. 123
Uncorrected formation energy ... -0.029 eV per atom
Density of states at the Fermi level ... 0.254 states/eV per atom

a b c (Å): 4.9953 5.1279 5.1279
angles (deg): 90.00 90.00 90.00
Closest atoms and distances in Å follow each position.
Fractional positions:
P (0.0000, 0.0000, 0.0000)  2 Cd 2.50, 4 Hg 2.56
Cl (0.5000, 0.5000, 0.5000)  8 Hg 3.58, 4 Cd 3.63
Hg (0.0000, 0.0000, 0.5000)  2 P 2.56
Hg (0.0000, 0.5000, 0.0000)  2 P 2.56
Cd (0.5000, 0.0000, 0.0000)  2 P 2.50

=====

Record 9
A geometry-optimized TcAs4W structure, computed with PBEsol.

Output
Symmetry ... F-43m, No. 216
Density of states at the Fermi level ... 0.996 states/eV per atom
Final energy ... -6.458 eV per atom

a b c (Å): 5.2047 5.2047 5.2047
angles (deg): 60.00 60.00 60.00
Closest atoms and distances in Å follow each position.
Fractional positions:
As (0.6251, 0.6251, 0.1247)  6 As 2.60
As (0.1247, 0.6251, 0.6251)  6 As 2.60
As (0.6251, 0.1247, 0.6251)  6 As 2.60
As (0.6251, 0.6251, 0.6251)  6 As 2.60
Tc (0.2500, 0.2500, 0.2500)  12 As 3.05, 4 W 3.19
W (0.0000, 0.0000, 0.0000)  12 As 3.05, 4 Tc 3.19

=====

Record 10
A geometry-optimized RbCO2 structure, computed with PBEsol.

Output
Symmetry ... P2_1/c, No. 14
Uncorrected formation energy ... -1.548 eV per atom
Density of states at the Fermi level ... 0.000 states/eV per atom

a b c (Å): 6.2790 8.2306 10.4071
angles (deg): 90.00 90.00 98.78
Closest atoms and distances in Å follow each position.
Fractional positions:
C (0.6900, 0.7755, 0.9435)  2 O 1.27
C (0.3100, 0.7245, 0.4435)  2 O 1.27
C (0.3100, 0.2245, 0.0565)  2 O 1.27
C (0.6900, 0.2755, 0.5565)  2 O 1.27
C (0.8296, 0.6547, 0.8906)  2 O 1.27
C (0.1704, 0.8453, 0.3906)  2 O 1.27
C (0.1704, 0.3453, 0.1094)  2 O 1.27
C (0.8296, 0.1547, 0.6094)  2 O 1.27
O (0.5387, 0.8086, 0.8719)  1 C 1.27
O (0.4613, 0.6914, 0.3719)  1 C 1.27
O (0.4613, 0.1914, 0.1281)  1 C 1.27
O (0.5387, 0.3086, 0.6281)  1 C 1.27
O (0.7376, 0.8364, 0.0542)  1 C 1.27
O (0.2624, 0.6636, 0.5542)  1 C 1.27
O (0.2624, 0.1636, 0.9458)  1 C 1.27
O (0.7376, 0.3364, 0.4458)  1 C 1.27
O (0.7600, 0.5027, 0.9021)  1 C 1.27
O (0.2400, 0.9973, 0.4021)  1 C 1.27
O (0.2400, 0.4973, 0.0979)  1 C 1.27
O (0.7600, 0.0027, 0.5979)  1 C 1.27
O (0.0049, 0.7185, 0.8375)  1 C 1.27
O (0.9951, 0.7815, 0.3375)  1 C 1.27
O (0.9951, 0.2815, 0.1625)  1 C 1.27
O (0.0049, 0.2185, 0.6625)  1 C 1.27
Rb (0.2878, 0.9779, 0.7033)  8 O 2.86-3.15
Rb (0.7122, 0.5221, 0.2033)  8 O 2.86-3.15
Rb (0.7122, 0.0221, 0.2967)  8 O 2.86-3.15
Rb (0.2878, 0.4779, 0.7967)  8 O 2.86-3.15
Rb (0.2294, 0.3345, 0.4195)  7 O 2.79-3.11
Rb (0.7706, 0.1655, 0.9195)  7 O 2.79-3.11
Rb (0.7706, 0.6655, 0.5805)  7 O 2.79-3.11
Rb (0.2294, 0.8345, 0.0805)  7 O 2.79-3.11

=====

Record 11
A geometry-optimized Si3GeTe structure, computed with PBEsol.

Output
Symmetry ... Pm-3m, No. 221
Uncorrected formation energy ... 0.852 eV per atom
Density of states at the Fermi level ... 0.543 states/eV per atom

a b c (Å): 4.7772 4.7772 4.7772
angles (deg): 90.00 90.00 90.00
Closest atoms and distances in Å follow each position.
Fractional positions:
Ge (0.0000, 0.0000, 0.0000)  6 Si 2.39
Te (0.5000, 0.5000, 0.5000)  12 Si 3.38
Si (0.0000, 0.5000, 0.0000)  2 Ge 2.39
Si (0.0000, 0.0000, 0.5000)  2 Ge 2.39
Si (0.5000, 0.0000, 0.0000)  2 Ge 2.39

=====

Record 12
A geometry-optimized InTe2IrS structure, computed with PBEsol.

Output
Symmetry ... P4/mmm, No. 123
Uncorrected formation energy ... 0.480 eV per atom
Density of states at the Fermi level ... 1.182 states/eV per atom

a b c (Å): 5.1137 5.1137 5.1128
angles (deg): 90.00 90.00 90.00
Closest atoms and distances in Å follow each position.
Fractional positions:
S (0.5000, 0.5000, 0.5000)  8 Te 3.62, 4 In 3.62
Ir (0.0000, 0.0000, 0.0000)  2 In 2.56, 4 Te 2.56
Te (0.0000, 0.5000, 0.0000)  2 Ir 2.56
Te (0.5000, 0.0000, 0.0000)  2 Ir 2.56
In (0.0000, 0.0000, 0.5000)  2 Ir 2.56

=====

Which formula does entry 10 have? RbCO2

=====

Number 9 is which compound? TcAs4W